[1]
## BaCaO2 (PBE)

Data for a relaxed BaCaO2 crystal.

Lattice parameters (Å, degrees): 4.285 4.285 8.394 90.00 90.00 90.00
Space group P4/nmm (No. 129, origin choice 2)
One atom of each set of equivalent atoms:
Ba 0.250 0.250 0.162 [2 per cell]
Ca 0.250 0.250 0.589 [2 per cell]
O 0.250 0.250 0.865 [2 per cell]
O 0.250 0.750 0.500 [2 per cell]

Values from the calculation:
DOS at the Fermi energy: 0.000 states/eV/atom
E above lowest polymorph: 0.071 eV/atom
Size of the total moment: 0.00 μB/cell

[2]
## BaSmEu2 (PBE)

Data for a relaxed BaSmEu2 crystal.

Lattice parameters (Å, degrees): 6.299 6.299 4.369 90.00 90.00 90.00
Space group P4/mmm (No. 123)
One atom of each set of equivalent atoms:
Ba 0.000 0.000 0.000 [1 per cell]
Sm 0.500 0.500 0.000 [1 per cell]
Eu 0.000 0.500 0.500 [2 per cell]

Values from the calculation:
DOS at the Fermi energy: 1.101 states/eV/atom
E above lowest polymorph: 0.069 eV/atom
ΔH_f (0 K): 165 meV/atom
Size of the total moment: 14.70 μB/cell

[3]
## CsNaIr3 (PBE)

Data for a relaxed CsNaIr3 crystal.

Lattice parameters (Å, degrees): 4.895 4.895 4.895 90.00 90.00 90.00
Space group Pm-3m (No. 221)
One atom of each set of equivalent atoms:
Cs 0.000 0.000 0.000 [1 per cell]
Na 0.500 0.500 0.500 [1 per cell]
Ir 0.000 0.500 0.500 [3 per cell]

Values from the calculation:
DOS at the Fermi energy: 2.143 states/eV/atom
E above lowest polymorph: 0.000 eV/atom
ΔH_f (0 K): 2363 meV/atom
Size of the total moment: 0.89 μB/cell

[4]
## PPtO4 (PBE)

Data for a relaxed PPtO4 crystal.

Lattice parameters (Å, degrees): 10.222 3.960 9.585 90.00 108.72 90.00
Space group C2/m (No. 12)
One atom of each set of equivalent atoms:
P 0.097 0.000 0.281 [4 per cell]
Pt 0.224 0.000 0.795 [4 per cell]
O 0.044 0.000 0.842 [4 per cell]
O 0.114 0.500 0.258 [4 per cell]
O 0.120 0.000 0.440 [4 per cell]
O 0.230 0.000 0.215 [4 per cell]

Values from the calculation:
DOS at the Fermi energy: 0.378 states/eV/atom
E above lowest polymorph: 0.299 eV/atom
Size of the total moment: 4.03 μB/cell

[5]
## Li3VAs (PBE)

Data for a relaxed Li3VAs crystal.

Lattice parameters (Å, degrees): 4.715 4.715 4.715 90.00 90.00 90.00
Space group Pm-3m (No. 221)
One atom of each set of equivalent atoms:
Li 0.000 0.000 0.500 [3 per cell]
V 0.500 0.500 0.500 [1 per cell]
As 0.000 0.000 0.000 [1 per cell]

Values from the calculation:
DOS at the Fermi energy: 1.567 states/eV/atom
E above lowest polymorph: 0.000 eV/atom
ΔH_f (0 K): 335 meV/atom
Size of the total moment: 4.36 μB/cell

[6]
## Ce2Co4P3Ru (PBE)

Data for a relaxed Ce2Co4P3Ru crystal.

Lattice parameters (Å, degrees): 3.925 3.925 9.541 90.00 90.00 90.00
Space group P-4m2 (No. 115)
One atom of each set of equivalent atoms:
Ce 0.000 0.500 0.242 [2 per cell]
Co 0.000 0.000 0.000 [1 per cell]
Co 0.000 0.500 0.635 [2 per cell]
Co 0.500 0.500 0.000 [1 per cell]
P 0.000 0.500 0.874 [2 per cell]
P 0.500 0.500 0.500 [1 per cell]
Ru 0.000 0.000 0.500 [1 per cell]

Values from the calculation:
DOS at the Fermi energy: 0.838 states/eV/atom
ΔH_f (0 K): -794 meV/atom
Size of the total moment: 0.53 μB/cell

[7]
## ErMgZnAg (PBE)

Data for a relaxed ErMgZnAg crystal.

Lattice parameters (Å, degrees): 6.875 6.875 6.875 90.00 90.00 90.00
Space group F-43m (No. 216)
One atom of each set of equivalent atoms:
Er 0.000 0.000 0.000 [4 per cell]
Mg 0.000 0.000 0.500 [4 per cell]
Zn 0.250 0.250 0.250 [4 per cell]
Ag 0.250 0.250 0.750 [4 per cell]

Values from the calculation:
DOS at the Fermi energy: 0.380 states/eV/atom
ΔH_f (0 K): -316 meV/atom
Size of the total moment: 0.00 μB/cell

[8]
## Sm2ErTmBi4 (PBE)

Data for a relaxed Sm2ErTmBi4 crystal.

Lattice parameters (Å, degrees): 7.788 4.504 7.795 90.00 109.49 90.00
Space group P2/m (No. 10)
One atom of each set of equivalent atoms:
Sm 0.000 0.000 0.000 [1 per cell]
Sm 0.000 0.500 0.500 [1 per cell]
Er 0.500 0.000 0.500 [1 per cell]
Tm 0.500 0.500 0.000 [1 per cell]
Bi 0.258 0.500 0.252 [2 per cell]
Bi 0.259 0.000 0.753 [2 per cell]

Values from the calculation:
DOS at the Fermi energy: 0.155 states/eV/atom
ΔH_f (0 K): -859 meV/atom
Size of the total moment: 0.00 μB/cell

[9]
## Ni2PtBr (PBE)

Data for a relaxed Ni2PtBr crystal.

Lattice parameters (Å, degrees): 2.910 4.342 4.735 90.00 90.00 90.00
Space group Pmmm (No. 47)
One atom of each set of equivalent atoms:
Ni 0.000 0.000 0.000 [1 per cell]
Ni 0.500 0.000 0.500 [1 per cell]
Pt 0.000 0.500 0.500 [1 per cell]
Br 0.500 0.500 0.000 [1 per cell]

Values from the calculation:
DOS at the Fermi energy: 1.266 states/eV/atom
E above lowest polymorph: 0.442 eV/atom
Size of the total moment: 1.03 μB/cell